No. 1
Material: AcNd6Dy4
Method: DFT, PBE
State: relaxed

POSCAR file:
```
AcNd6Dy4
1.0
-3.3236 3.3236 8.8901
3.3236 -3.3236 8.8901
3.3236 3.3236 -8.8901
Ac Nd Dy
1 6 4
direct
0.0000 0.0000 0.0000
0.0000 0.5000 0.5000
0.1862 0.1862 0.6395
0.4533 0.8138 0.0000
0.5000 0.0000 0.5000
0.5467 0.5467 0.3605
0.8138 0.4533 0.0000
0.0078 0.6328 0.0000
0.3672 0.3672 0.3750
0.6328 0.0078 0.0000
0.9922 0.9922 0.6250
```

Results
ΔE_f (eV/f.u.): 3.6
Theoretical density (Mg/m³): 7.37

---

No. 2
Material: Ac5NdDy
Method: DFT, PBE
State: relaxed

POSCAR file:
```
Ac5NdDy
1.0
3.3450 -9.3054 0.0000
3.3450 9.3054 0.0000
-2.5623 0.0000 9.6485
Ac Nd Dy
10 2 2
direct
0.0215 0.3878 0.6463
0.1350 0.8650 0.7500
0.2392 0.5339 0.0380
0.3878 0.0215 0.1463
0.4661 0.7608 0.4620
0.5339 0.2392 0.5380
0.6122 0.9785 0.8537
0.7608 0.4661 0.9620
0.8650 0.1350 0.2500
0.9785 0.6122 0.3537
0.4863 0.5137 0.7500
0.5137 0.4863 0.2500
0.0000 0.0000 0.0000
0.0000 0.0000 0.5000
```

Results
ΔE_f (eV/f.u.): 1.4
Theoretical density (Mg/m³): 7.97

---

No. 3
Material: AcNd4Dy10
Method: DFT, PBE
State: relaxed

POSCAR file:
```
AcNd4Dy10
1.0
-6.4448 6.4448 3.3270
6.4448 -6.4448 3.3270
6.4448 6.4448 -3.3270
Ac Nd Dy
1 4 10
direct
0.0000 0.0000 0.0000
0.3231 0.4326 0.7556
0.4326 0.6769 0.1095
0.5674 0.3231 0.8905
0.6769 0.5674 0.2444
0.0444 0.6188 0.1641
0.1197 0.9556 0.5743
0.2500 0.7500 0.5000
0.3812 0.5454 0.4257
0.4546 0.8803 0.8359
0.5454 0.1197 0.1641
0.6188 0.4546 0.5743
0.7500 0.2500 0.5000
0.8803 0.0444 0.4257
0.9556 0.3812 0.8359
```

Results
ΔE_f (eV/f.u.): 7.8
Theoretical density (Mg/m³): 7.30

---

No. 4
Material: Ac2Nd2Dy3
Method: DFT, PBE
State: relaxed

POSCAR file:
```
Ac2Nd2Dy3
1.0
5.8114 0.0000 0.0000
0.0000 3.5897 0.0000
-2.8990 0.0000 12.2146
Ac Nd Dy
2 2 3
direct
0.0767 0.0000 0.1541
0.9233 0.0000 0.8459
0.3487 0.5000 0.6983
0.6513 0.5000 0.3017
0.2178 0.0000 0.4355
0.5000 0.0000 0.0000
0.7822 0.0000 0.5645
```

Results
ΔE_f (eV/f.u.): 1.1
Theoretical density (Mg/m³): 8.02

---

No. 5
Material: AcNdDy
Method: DFT, PBE
State: relaxed

POSCAR file:
```
AcNdDy
1.0
5.9355 0.0000 0.0000
-2.9677 5.1403 0.0000
0.0000 0.0000 3.6250
Ac Nd Dy
1 1 1
direct
0.0000 0.0000 0.0000
0.6667 0.3333 0.4995
0.3333 0.6667 0.9984
```

Results
ΔE_f (eV/f.u.): 0.4
Distance to the lowest polymorph of the same formula (eV/atom): 0.071
Theoretical density (Mg/m³): 8.01

---

No. 6
Material: Ac4Nd2Dy3
Method: DFT, PBE
State: relaxed

POSCAR file:
```
Ac4Nd2Dy3
1.0
5.8792 -2.6981 0.0000
5.8792 2.6981 0.0000
-3.3212 0.0000 10.7952
Ac Nd Dy
4 2 3
direct
0.0054 0.0054 0.3344
0.3339 0.3339 0.1116
0.6661 0.6661 0.8884
0.9946 0.9946 0.6656
0.3288 0.3288 0.7722
0.6712 0.6712 0.2278
0.0000 0.0000 0.0000
0.3351 0.3351 0.4497
0.6649 0.6649 0.5503
```

Results
ΔE_f (eV/f.u.): 0.5
Theoretical density (Mg/m³): 8.17

---

No. 7
Material: Ac2Nd3Dy3
Method: DFT, PBE
State: relaxed

POSCAR file:
```
Ac2Nd3Dy3
1.0
1.9126 -8.8149 0.0000
1.9126 8.8149 0.0000
0.0000 0.0000 17.6707
Ac Nd Dy
4 6 6
direct
0.2483 0.7517 0.6065
0.2483 0.7517 0.8935
0.7517 0.2483 0.1065
0.7517 0.2483 0.3935
0.0929 0.9071 0.0407
0.0929 0.9071 0.4593
0.1148 0.8852 0.7500
0.8852 0.1148 0.2500
0.9071 0.0929 0.5407
0.9071 0.0929 0.9593
0.0908 0.9092 0.2500
0.4566 0.5434 0.1186
0.4566 0.5434 0.3814
0.5434 0.4566 0.6186
0.5434 0.4566 0.8814
0.9092 0.0908 0.7500
```

Results
ΔE_f (eV/f.u.): 1.2
Theoretical density (Mg/m³): 7.66

---

No. 8
Material: Ac3Nd3Dy2
Method: DFT, PBE
State: relaxed

POSCAR file:
```
Ac3Nd3Dy2
1.0
6.1747 0.0000 0.0000
0.0000 6.1879 0.0000
0.0000 0.0000 7.8757
Ac Nd Dy
3 3 2
direct
0.0000 0.0000 0.0000
0.0000 0.0000 0.5000
0.5000 0.5000 0.0000
0.5000 0.0000 0.2589
0.5000 0.0000 0.7411
0.5000 0.5000 0.5000
0.0000 0.5000 0.2585
0.0000 0.5000 0.7415
```

Results
ΔE_f (eV/f.u.): 0.9
Theoretical density (Mg/m³): 7.94

---

No. 9
Material: Ac2Nd3Dy7
Method: DFT, PBE
State: relaxed

POSCAR file:
```
Ac2Nd3Dy7
1.0
6.4595 0.0000 0.0000
0.0000 3.6213 0.0000
-2.0597 0.0000 17.8188
Ac Nd Dy
2 3 7
direct
0.0530 0.0000 0.1752
0.9470 0.0000 0.8248
0.4561 0.5000 0.8405
0.5000 0.0000 0.5000
0.5439 0.5000 0.1595
0.0000 0.5000 0.5000
0.2275 0.0000 0.6616
0.2583 0.0000 0.0009
0.2773 0.5000 0.3407
0.7227 0.5000 0.6593
0.7417 0.0000 0.9991
0.7725 0.0000 0.3384
```

Results
ΔE_f (eV/f.u.): 1.3
Theoretical density (Mg/m³): 8.06

---

No. 10
Material: AcNdDy2
Method: DFT, PBE
State: relaxed

POSCAR file:
```
AcNdDy2
1.0
5.2603 0.0000 0.0000
0.0000 5.2603 0.0000
0.0000 0.0000 5.1110
Ac Nd Dy
1 1 2
direct
0.0000 0.0000 0.0000
0.5000 0.5000 0.0000
0.0000 0.5000 0.5000
0.5000 0.0000 0.5000
```

Results
ΔE_f (eV/f.u.): 0.2
Distance to the lowest polymorph of the same formula (eV/atom): 0.002
Theoretical density (Mg/m³): 8.17

---

No. 11
Material: Ac6Nd2Dy
Method: DFT, PBE
State: relaxed

POSCAR file:
```
Ac6Nd2Dy
1.0
11.5745 0.0000 0.0000
0.0000 11.5745 0.0000
0.0000 0.0000 5.5350
Ac Nd Dy
12 4 2
direct
0.0020 0.3277 0.0000
0.1581 0.8419 0.5000
0.1723 0.5020 0.5000
0.3277 0.0020 0.0000
0.3419 0.3419 0.0000
0.4980 0.8277 0.5000
0.5020 0.1723 0.5000
0.6581 0.6581 0.0000
0.6723 0.9980 0.0000
0.8277 0.4980 0.5000
0.8419 0.1581 0.5000
0.9980 0.6723 0.0000
0.1682 0.1682 0.5000
0.3318 0.6682 0.0000
0.6682 0.3318 0.0000
0.8318 0.8318 0.5000
0.0000 0.0000 0.0000
0.5000 0.5000 0.5000
```

Results
ΔE_f (eV/f.u.): 0.3
Theoretical density (Mg/m³): 8.12

---

No. 12
Material: Ac4Nd3Dy
Method: DFT, PBE
State: relaxed

POSCAR file:
```
Ac4Nd3Dy
1.0
10.9314 0.0000 0.0000
0.0000 7.5859 0.0000
0.0000 0.0000 7.5850
Ac Nd Dy
8 6 2
direct
0.0000 0.0011 0.0000
0.0000 0.4992 0.4977
0.2484 0.7510 0.7490
0.2516 0.2490 0.2490
0.5000 0.5008 0.9977
0.5000 0.9989 0.5000
0.7484 0.2490 0.2490
0.7516 0.7510 0.7490
0.0000 0.4996 0.9994
0.2498 0.2477 0.7489
0.2502 0.7523 0.2489
0.5000 0.5004 0.4994
0.7502 0.2477 0.7489
0.7498 0.7523 0.2489
0.0000 0.0003 0.4986
0.5000 0.9997 0.9986
```

Results
ΔE_f (eV/f.u.): 0.3
Theoretical density (Mg/m³): 7.94

---

No. 13
Material: Ac4Nd4Dy3
Method: DFT, PBE
State: relaxed

POSCAR file:
```
Ac4Nd4Dy3
1.0
-1.8744 7.9255 8.2613
1.8744 -7.9255 8.2613
1.8744 7.9255 -8.2613
Ac Nd Dy
4 4 3
direct
0.1564 0.1564 0.0000
0.2798 0.0000 0.2798
0.7202 0.0000 0.7202
0.8436 0.8436 0.0000
0.2213 0.3403 0.8810
0.4593 0.3403 0.1190
0.5407 0.6597 0.8810
0.7787 0.6597 0.1190
0.1020 0.5000 0.6020
0.5000 0.0000 0.5000
0.8980 0.5000 0.3980
```

Results
ΔE_f (eV/f.u.): 5.8
Theoretical density (Mg/m³): 6.67

---

No. 14
Material: Ac2Nd7Dy3
Method: DFT, PBE
State: relaxed

POSCAR file:
```
Ac2Nd7Dy3
1.0
6.5392 0.0000 0.0000
0.0000 3.6584 0.0000
-1.9503 0.0000 18.0574
Ac Nd Dy
2 7 3
direct
0.0614 0.0000 0.1723
0.9386 0.0000 0.8277
0.0000 0.5000 0.5000
0.2306 0.0000 0.6656
0.2615 0.0000 0.9974
0.2807 0.5000 0.3400
0.7193 0.5000 0.6600
0.7385 0.0000 0.0026
0.7694 0.0000 0.3344
0.4498 0.5000 0.8398
0.5000 0.0000 0.5000
0.5502 0.5000 0.1602
```

Results
ΔE_f (eV/f.u.): 1.0
Theoretical density (Mg/m³): 7.50

---

No. 15
Material: Ac2NdDy6
Method: DFT, PBE
State: relaxed

POSCAR file:
```
Ac2NdDy6
1.0
8.6359 -2.9036 0.0000
8.6359 2.9036 0.0000
-2.2800 0.0000 6.2792
Ac Nd Dy
2 1 6
direct
0.1174 0.1174 0.0770
0.8826 0.8826 0.9230
0.0000 0.0000 0.5000
0.2476 0.2476 0.6431
0.3333 0.3333 0.2198
0.4659 0.4659 0.7284
0.5341 0.5341 0.2716
0.6667 0.6667 0.7802
0.7524 0.7524 0.3569
```

Results
ΔE_f (eV/f.u.): 1.0
Theoretical density (Mg/m³): 8.30

---

No. 16
Material: AcNd2Dy6
Method: DFT, PBE
State: relaxed

POSCAR file:
```
AcNd2Dy6
1.0
6.2432 0.0000 0.0000
0.0000 6.2432 0.0000
0.0000 0.0000 18.1221
Ac Nd Dy
2 4 12
direct
0.0000 0.0000 0.0000
0.5000 0.5000 0.5000
0.0000 0.0000 0.3526
0.0000 0.0000 0.6474
0.5000 0.5000 0.1474
0.5000 0.5000 0.8526
0.1657 0.1657 0.5000
0.1775 0.1775 0.1910
0.1775 0.1775 0.8090
0.3225 0.6775 0.3090
0.3225 0.6775 0.6910
0.3343 0.6657 0.0000
0.6657 0.3343 0.0000
0.6775 0.3225 0.3090
0.6775 0.3225 0.6910
0.8225 0.8225 0.1910
0.8225 0.8225 0.8090
0.8343 0.8343 0.5000
```

Results
ΔE_f (eV/f.u.): 8.4
Distance to the lowest polymorph of the same formula (eV/atom): 0.844
Theoretical density (Mg/m³): 7.01

---

No. 17
Material: AcNd7Dy2
Method: DFT, PBE
State: relaxed

POSCAR file:
```
AcNd7Dy2
1.0
4.5157 -8.0803 0.0000
4.5157 8.0803 0.0000
0.0000 0.0000 5.8707
Ac Nd Dy
1 7 2
direct
0.0000 0.0000 0.0000
0.0610 0.2997 0.5000
0.2368 0.7632 0.0000
0.2997 0.0610 0.5000
0.5000 0.5000 0.5000
0.7003 0.9390 0.5000
0.7632 0.2368 0.0000
0.9390 0.7003 0.5000
0.2973 0.7027 0.5000
0.7027 0.2973 0.5000
```

Results
ΔE_f (eV/f.u.): 6.1
Distance to the lowest polymorph of the same formula (eV/atom): 0.016
Theoretical density (Mg/m³): 6.05

---

No. 18
Material: Ac2Nd6Dy5
Method: DFT, PBE
State: relaxed

POSCAR file:
```
Ac2Nd6Dy5
1.0
12.1130 0.0000 0.0000
0.0000 20.6924 0.0000
0.0000 0.0000 3.7132
Ac Nd Dy
4 12 10
direct
0.1631 0.2197 0.0000
0.3369 0.7197 0.0000
0.6631 0.2803 0.0000
0.8369 0.7803 0.0000
0.0569 0.9242 0.0000
0.0756 0.6366 0.0000
0.1812 0.3802 0.5000
0.3188 0.8802 0.5000
0.4244 0.1366 0.0000
0.4431 0.4242 0.0000
0.5569 0.5758 0.0000
0.5756 0.8634 0.0000
0.6812 0.1198 0.5000
0.8188 0.6198 0.5000
0.9244 0.3634 0.0000
0.9431 0.0758 0.0000
0.0000 0.5000 0.5000
0.0975 0.7806 0.5000
0.2018 0.0538 0.5000
0.2982 0.5538 0.5000
0.4025 0.2806 0.5000
0.5000 0.0000 0.5000
0.5975 0.7194 0.5000
0.7018 0.4462 0.5000
0.7982 0.9462 0.5000
0.9025 0.2194 0.5000
```

Results
ΔE_f (eV/f.u.): 1.4
Theoretical density (Mg/m³): 7.61

---

No. 19
Material: Ac14NdDy
Method: DFT, PBE
State: relaxed

POSCAR file:
```
Ac14NdDy
1.0
11.2171 0.0000 0.0000
0.0000 5.5786 5.5768
0.0000 -5.5786 5.5768
Ac Nd Dy
14 1 1
direct
0.0000 0.9996 0.9996
0.0000 0.5000 0.5000
0.0000 0.4999 0.9995
0.0000 0.9995 0.4999
0.2556 0.2489 0.2489
0.2560 0.2491 0.7504
0.2560 0.7504 0.2491
0.2565 0.7506 0.7506
0.5000 0.0001 0.4997
0.5000 0.4997 0.0001
0.7444 0.2489 0.2489
0.7440 0.2491 0.7504
0.7440 0.7504 0.2491
0.7435 0.7506 0.7506
0.5000 0.4995 0.4995
0.5000 0.0001 0.0001
```

Results
ΔE_f (eV/f.u.): 0.4
Theoretical density (Mg/m³): 8.29

---

No. 20
Material: AcNd3Dy4
Method: DFT, PBE
State: relaxed

POSCAR file:
```
AcNd3Dy4
1.0
-1.7539 5.9159 6.6875
1.7539 -5.9159 6.6875
1.7539 5.9159 -6.6875
Ac Nd Dy
1 3 4
direct
0.0000 0.0000 0.0000
0.2429 0.7429 0.5000
0.5000 0.5000 0.0000
0.7571 0.2571 0.5000
0.1173 0.8637 0.2536
0.3899 0.1363 0.2536
0.6101 0.8637 0.7464
0.8827 0.1363 0.7464
```

Results
ΔE_f (eV/f.u.): 1.2
Theoretical density (Mg/m³): 7.84